(1)
The following is a DFT calculation (PBE) of SrBe2In after structural relaxation.

Cell: 3.970 4.127 10.570 Å, 90.00 90.00 90.00°
Space group Amm2 (No. 38)
Asymmetric unit:
Sr1 0.000 0.000 0.000 (multiplicity 2)
Be1 0.000 0.000 0.290 (multiplicity 2)
Be2 0.500 0.000 0.348 (multiplicity 2)
In1 0.500 0.000 0.718 (multiplicity 2)

Results
Density of states at the Fermi level = 2.55 states/eV per cell
Formation energy = 175.6 meV/atom
Total magnetic moment = 0.000 μB/f.u.



(2)
The following is a DFT calculation (PBE) of NdCdGa after structural relaxation.

Cell: 4.7496 4.7496 3.7271 Å, 90.00 90.00 120.00°
Space group P-6m2 (No. 187)
Asymmetric unit:
Nd1 0.0000 0.0000 0.0000 (multiplicity 1)
Cd1 0.6667 0.3333 0.5000 (multiplicity 1)
Ga1 0.3333 0.6667 0.5000 (multiplicity 1)

Results
Density of states at the Fermi level = 1.62 states/eV per cell
Formation energy = -472.2 meV/atom
Total magnetic moment = 0.000 μB/f.u.



(3)
The following is a DFT calculation (PBE) of Pm3Tl after structural relaxation.

Cell: 7.912 7.912 7.912 Å, 90.00 90.00 90.00°
Space group Fm-3m (No. 225)
Asymmetric unit:
Pm1 0.000 0.000 0.000 (multiplicity 4)
Pm2 0.250 0.250 0.250 (multiplicity 8)
Tl1 0.000 0.000 0.500 (multiplicity 4)

Results
Density of states at the Fermi level = 23.28 states/eV per cell
Formation energy = -49.7 meV/atom
Total magnetic moment = 1.435 μB/f.u.
Excess energy over the best structure of this formula in the dataset = 152 meV/atom



(4)
The following is a DFT calculation (PBE) of Ac2SnRu2 after structural relaxation.

Cell: 4.410 6.111 9.569 Å, 90.00 90.00 90.00°
Space group Immm (No. 71)
Asymmetric unit:
Ac1 0.000 0.000 0.204 (multiplicity 4)
Sn1 0.000 0.500 0.000 (multiplicity 2)
Ru1 0.000 0.293 0.500 (multiplicity 4)

Results
Density of states at the Fermi level = 11.24 states/eV per cell
Formation energy = -293.7 meV/atom
Total magnetic moment = 0.000 μB/f.u.
Excess energy over the best structure of this formula in the dataset = 50 meV/atom



> The highest total magnetic moment belongs to which entry?

Pm3Tl